[1]
# Tb3Pr7Sm

A relaxed structure of Tb3Pr7Sm (PBE-GGA, Alexandria).

a b c (Å): 7.2843 7.2843 8.7528
angles (deg): 90.00 90.00 120.00
With the nearest neighbours (Å) after each atom.
Sites, in units of the cell vectors:
Tb (0.1671, 0.3342, 0.0000)  5 Pr 3.53-3.66, 4 Tb 3.63-3.65, 1 Sm 3.64
Tb (0.1671, 0.8329, 0.0000)  5 Pr 3.53-3.66, 4 Tb 3.63-3.65, 1 Sm 3.64
Tb (0.6658, 0.8329, 0.0000)  5 Pr 3.53-3.66, 4 Tb 3.63-3.65, 1 Sm 3.64
Pr (0.0000, 0.0000, 0.6576)  9 Pr 3.60-3.65, 3 Tb 3.66
Pr (0.0003, 0.5002, 0.6743)  2 Tb 3.54, 1 Sm 3.61, 8 Pr 3.64-3.72
Pr (0.3336, 0.1668, 0.3237)  2 Tb 3.53, 7 Pr 3.60-3.72, 2 Sm 3.64
Pr (0.4998, 0.9997, 0.6743)  2 Tb 3.54, 1 Sm 3.61, 8 Pr 3.64-3.72
Pr (0.4998, 0.5002, 0.6743)  2 Tb 3.54, 1 Sm 3.61, 8 Pr 3.64-3.72
Pr (0.8332, 0.1668, 0.3237)  2 Tb 3.53, 7 Pr 3.60-3.72, 2 Sm 3.64
Pr (0.8332, 0.6664, 0.3237)  2 Tb 3.53, 7 Pr 3.60-3.72, 2 Sm 3.64
Sm (0.3333, 0.6667, 0.3395)  9 Pr 3.61-3.64, 3 Tb 3.64

* calculated volume: 36.564 Å³ per atom
* symmetry: P3m1
* offset from the most stable computed form: 109.8 meV/atom
* magnetization: 0.00 Bohr magnetons per cell
* Fermi-level density of states: 1.5551 states/eV per atom
* E_form: 0.1794 eV/atom

***

[2]
# NdIn2Se4

A relaxed structure of NdIn2Se4 (PBE-GGA, Alexandria).

a b c (Å): 6.0540 6.0540 6.6741
angles (deg): 90.00 90.00 90.00
With the nearest neighbours (Å) after each atom.
Sites, in units of the cell vectors:
Nd (0.0000, 0.0000, 0.0000)  4 Se 2.86
In (0.0000, 0.5000, 0.5000)  4 Se 2.70
In (0.5000, 0.0000, 0.5000)  4 Se 2.70
Se (0.2686, 0.2686, 0.2537)  2 In 2.70, 1 Nd 2.86
Se (0.2686, 0.7314, 0.7463)  2 In 2.70, 1 Nd 2.86
Se (0.7314, 0.2686, 0.7463)  2 In 2.70, 1 Nd 2.86
Se (0.7314, 0.7314, 0.2537)  2 In 2.70, 1 Nd 2.86

* calculated volume: 34.945 Å³ per atom
* symmetry: P-42m
* uncorrected formation energy: -799 meV per atom
* magnetization: 0.00 Bohr magnetons per cell
* Fermi-level density of states: 0.4520 states/eV per atom

***

[3]
# CsCu2Br2

A relaxed structure of CsCu2Br2 (PBE-GGA, Alexandria).

a b c (Å): 8.8458 8.8458 4.1713
angles (deg): 90.00 90.00 90.00
With the nearest neighbours (Å) after each atom.
Sites, in units of the cell vectors:
Cs (0.0000, 0.0000, 0.0000)  4 Cu 3.68, 8 Br 3.82
Cs (0.5000, 0.5000, 0.0000)  4 Cu 3.68, 8 Br 3.82
Cu (0.0950, 0.4050, 0.0000)  1 Cu 2.38, 2 Br 2.44
Cu (0.4050, 0.9050, 0.0000)  1 Cu 2.38, 2 Br 2.44
Cu (0.5950, 0.0950, 0.0000)  1 Cu 2.38, 2 Br 2.44
Cu (0.9050, 0.5950, 0.0000)  1 Cu 2.38, 2 Br 2.44
Br (0.1967, 0.3033, 0.5000)  2 Cu 2.44
Br (0.3033, 0.8033, 0.5000)  2 Cu 2.44
Br (0.6967, 0.1967, 0.5000)  2 Cu 2.44
Br (0.8033, 0.6967, 0.5000)  2 Cu 2.44

* calculated volume: 32.640 Å³ per atom
* symmetry: P4/mbm
* offset from the most stable computed form: 0.0 meV/atom
* uncorrected formation energy: -341 meV per atom
* magnetization: 1.32 Bohr magnetons per cell
* Fermi-level density of states: 0.4809 states/eV per atom

***

[4]
# RbZrHg3

A relaxed structure of RbZrHg3 (PBE-GGA, Alexandria).

a b c (Å): 6.1234 6.1234 6.1234
angles (deg): 90.00 90.00 90.00
With the nearest neighbours (Å) after each atom.
Sites, in units of the cell vectors:
Rb (0.0000, 0.0000, 0.0000)  6 Hg 3.06
Zr (0.5000, 0.5000, 0.5000)  12 Hg 4.33
Hg (0.0000, 0.0000, 0.5000)  2 Rb 3.06
Hg (0.0000, 0.5000, 0.0000)  2 Rb 3.06
Hg (0.5000, 0.0000, 0.0000)  2 Rb 3.06

* calculated volume: 45.920 Å³ per atom
* symmetry: Pm-3m
* offset from the most stable computed form: 916.9 meV/atom
* magnetization: 3.00 Bohr magnetons per cell
* Fermi-level density of states: 0.9505 states/eV per atom
* E_form: 1.0763 eV/atom

***

[5]
# AlSbAs

A relaxed structure of AlSbAs (PBE-GGA, Alexandria).

a b c (Å): 11.0203 11.0203 11.0203
angles (deg): 21.64 21.64 21.64
With the nearest neighbours (Å) after each atom.
Sites, in units of the cell vectors:
Al (0.0000, 0.0000, 0.0000)  3 As 2.50, 1 Sb 2.74
Al (0.2319, 0.2319, 0.2319)  4 As 2.53-2.54
Sb (0.0848, 0.0848, 0.0848)  1 Al 2.74, 3 Sb 2.88
Sb (0.8015, 0.8015, 0.8015)  3 Sb 2.88
As (0.3105, 0.3105, 0.3105)  4 Al 2.50-2.54
As (0.5396, 0.5396, 0.5396)  3 Al 2.53

* calculated volume: 26.593 Å³ per atom
* symmetry: R3m
* uncorrected formation energy: -187 meV per atom
* magnetization: 0.00 Bohr magnetons per cell
* Fermi-level density of states: 0.0198 states/eV per atom

***

[6]
# Ba2ThGeO6

A relaxed structure of Ba2ThGeO6 (PBE-GGA, Alexandria).

a b c (Å): 6.0109 6.0109 6.0109
angles (deg): 60.00 60.00 60.00
With the nearest neighbours (Å) after each atom.
Sites, in units of the cell vectors:
Ba (0.2500, 0.2500, 0.2500)  12 O 3.01
Ba (0.7500, 0.7500, 0.7500)  12 O 3.01
Th (0.0000, 0.0000, 0.0000)  6 O 2.29
Ge (0.5000, 0.5000, 0.5000)  6 O 1.96
O (0.2699, 0.2699, 0.7301)  1 Ge 1.96
O (0.2699, 0.7301, 0.2699)  1 Ge 1.96
O (0.2699, 0.7301, 0.7301)  1 Ge 1.96
O (0.7301, 0.2699, 0.2699)  1 Ge 1.96
O (0.7301, 0.2699, 0.7301)  1 Ge 1.96
O (0.7301, 0.7301, 0.2699)  1 Ge 1.96

* calculated volume: 15.357 Å³ per atom
* symmetry: Fm-3m
* uncorrected formation energy: -2764 meV per atom
* magnetization: 0.00 Bohr magnetons per cell
* Fermi-level density of states: 0.0000 states/eV per atom

***

[7]
# TlMoSe2

A relaxed structure of TlMoSe2 (PBE-GGA, Alexandria).

a b c (Å): 4.1824 7.8011 7.8011
angles (deg): 26.07 90.00 90.00
With the nearest neighbours (Å) after each atom.
Sites, in units of the cell vectors:
Tl (0.0000, 0.0000, 0.0000)  6 Se 3.27-3.38, 2 Tl 3.52
Mo (0.5000, 0.7674, 0.7674)  4 Se 2.40-2.48
Se (0.0000, 0.6896, 0.6896)  2 Mo 2.40
Se (0.5000, 0.3823, 0.3823)  2 Mo 2.48

* calculated volume: 27.963 Å³ per atom
* symmetry: Amm2
* uncorrected formation energy: -57 meV per atom
* magnetization: 0.00 Bohr magnetons per cell
* Fermi-level density of states: 0.8110 states/eV per atom

***

[8]
# Tb5TmAs6

A relaxed structure of Tb5TmAs6 (PBE-GGA, Alexandria).

a b c (Å): 7.1481 7.1481 7.1460
angles (deg): 99.60 99.60 119.98
With the nearest neighbours (Å) after each atom.
Sites, in units of the cell vectors:
Tb (0.0000, 0.0000, 0.0000)  6 As 2.92-2.94
Tb (0.1665, 0.8335, 0.5000)  6 As 2.92
Tb (0.3327, 0.6673, 0.0000)  6 As 2.92-2.93
Tb (0.6673, 0.3327, 0.0000)  6 As 2.92-2.93
Tb (0.8335, 0.1665, 0.5000)  6 As 2.92
Tm (0.5000, 0.5000, 0.5000)  6 As 2.90
As (0.0865, 0.4173, 0.2517)  1 Tm 2.90, 5 Tb 2.92-2.93
As (0.2521, 0.2521, 0.7486)  1 Tm 2.90, 5 Tb 2.92-2.94
As (0.4173, 0.0865, 0.2517)  1 Tm 2.90, 5 Tb 2.92-2.93
As (0.5827, 0.9135, 0.7483)  1 Tm 2.90, 5 Tb 2.92-2.93
As (0.7479, 0.7479, 0.2514)  1 Tm 2.90, 5 Tb 2.92-2.94
As (0.9135, 0.5827, 0.7483)  1 Tm 2.90, 5 Tb 2.92-2.93

* calculated volume: 24.848 Å³ per atom
* symmetry: C2/m
* magnetization: 0.00 Bohr magnetons per cell
* Fermi-level density of states: 0.1052 states/eV per atom
* E_form: -1.5350 eV/atom

***

[9]
# TbEr2Pt

A relaxed structure of TbEr2Pt (PBE-GGA, Alexandria).

a b c (Å): 3.5430 3.5430 8.3831
angles (deg): 90.00 90.00 90.00
With the nearest neighbours (Å) after each atom.
Sites, in units of the cell vectors:
Tb (0.0000, 0.0000, 0.0000)  4 Tb 3.54, 8 Er 3.58
Er (0.5000, 0.5000, 0.3057)  4 Pt 2.99, 1 Er 3.26
Er (0.5000, 0.5000, 0.6943)  4 Pt 2.99, 1 Er 3.26
Pt (0.0000, 0.0000, 0.5000)  8 Er 2.99

* calculated volume: 26.307 Å³ per atom
* symmetry: P4/mmm
* offset from the most stable computed form: 116.3 meV/atom
* magnetization: 0.00 Bohr magnetons per cell
* Fermi-level density of states: 1.2103 states/eV per atom
* E_form: -0.6129 eV/atom

***

[10]
# LaBeSn3

A relaxed structure of LaBeSn3 (PBE-GGA, Alexandria).

a b c (Å): 6.0818 6.0818 6.0818
angles (deg): 90.00 90.00 90.00
With the nearest neighbours (Å) after each atom.
Sites, in units of the cell vectors:
La (0.0000, 0.0000, 0.0000)  6 Sn 3.04
Be (0.5000, 0.5000, 0.5000)  12 Sn 4.30
Sn (0.0000, 0.0000, 0.5000)  2 La 3.04
Sn (0.0000, 0.5000, 0.0000)  2 La 3.04
Sn (0.5000, 0.0000, 0.0000)  2 La 3.04

* calculated volume: 44.990 Å³ per atom
* symmetry: Pm-3m
* offset from the most stable computed form: 1311.2 meV/atom
* magnetization: 0.00 Bohr magnetons per cell
* Fermi-level density of states: 1.3084 states/eV per atom
* E_form: 1.2266 eV/atom